# 1
Entry from the Alexandria database: a relaxed structure of LiNiRu2 (PBE).

symmetry	I4/mmm, No. 139
M_tot	0.000	μB/atom
ΔE_f	0.23	eV per atom
energy above the most stable polymorph in this dataset	0.0959	eV per atom

a b c (Å): 4.6320 4.6320 4.6320
angles (deg): 134.07 134.07 66.97
With the nearest neighbours (Å) after each atom.
Sites, in units of the cell vectors:
1 Li 0.2500 0.7500 0.5000  4 Ni 2.56, 8 Ru 2.65
2 Ru 0.0000 0.0000 0.0000  4 Ru 2.56, 4 Li 2.65, 4 Ni 2.65
3 Ru 0.5000 0.5000 0.0000  4 Ru 2.56, 4 Li 2.65, 4 Ni 2.65
4 Ni 0.7500 0.2500 0.5000  4 Li 2.56, 8 Ru 2.65

---

# 2
Entry from the Alexandria database: a relaxed structure of LiNiRu2 (PBE).

symmetry	I-42d, No. 122
M_tot	0.000	μB/atom
ΔE_f	0.63	eV per atom
energy above the most stable polymorph in this dataset	0.4932	eV per atom

a b c (Å): 7.2575 7.2575 5.6086
angles (deg): 49.68 49.68 90.00
With the nearest neighbours (Å) after each atom.
Sites, in units of the cell vectors:
1 Li 0.2500 0.7500 0.5000  2 Ni 2.26
2 Li 0.5000 0.5000 0.0000  2 Ni 2.26
3 Ru 0.8750 0.9364 0.7500  2 Ni 2.34, 2 Ru 2.43
4 Ru 0.6864 0.1250 0.2500  2 Ni 2.34, 2 Ru 2.43
5 Ru 0.0636 0.6250 0.2500  2 Ni 2.34, 2 Ru 2.43
6 Ru 0.3750 0.3136 0.7500  2 Ni 2.34, 2 Ru 2.43
7 Ni 0.7500 0.2500 0.5000  2 Li 2.26, 4 Ru 2.34
8 Ni 0.0000 0.0000 0.0000  2 Li 2.26, 4 Ru 2.34

---

# 3
Entry from the Alexandria database: a relaxed structure of LiNiRu2 (PBE).

symmetry	I-4m2, No. 119
M_tot	0.000	μB/atom
ΔE_f	0.15	eV per atom
energy above the most stable polymorph in this dataset	0.0147	eV per atom

a b c (Å): 4.4497 4.4497 4.4497
angles (deg): 130.27 130.27 72.97
With the nearest neighbours (Å) after each atom.
Sites, in units of the cell vectors:
1 Li 0.5000 0.5000 0.0000  8 Ru 2.59-2.65, 4 Ni 2.59
2 Ni 0.7500 0.2500 0.5000  4 Li 2.59, 8 Ru 2.59-2.65
3 Ru 0.0000 0.0000 0.0000  4 Ni 2.59, 4 Ru 2.59, 4 Li 2.65
4 Ru 0.2500 0.7500 0.5000  4 Li 2.59, 4 Ru 2.59, 4 Ni 2.65

---

# 4
Entry from the Alexandria database: a relaxed structure of LiNiRu2 (PBE).

symmetry	Fm-3m, No. 225
M_tot	0.000	μB/atom
ΔE_f	0.32	eV per atom
energy above the most stable polymorph in this dataset	0.1827	eV per atom

a b c (Å): 4.1109 4.1109 4.1109
angles (deg): 60.00 60.00 60.00
With the nearest neighbours (Å) after each atom.
Sites, in units of the cell vectors:
1 Ru 0.7500 0.7500 0.7500  4 Li 2.52, 4 Ni 2.52
2 Ru 0.2500 0.2500 0.2500  4 Li 2.52, 4 Ni 2.52
3 Li 0.0000 0.0000 0.0000  8 Ru 2.52
4 Ni 0.5000 0.5000 0.5000  8 Ru 2.52

---

ΔE_f of number 3 (LiNiRu2)?
0.15 eV per atom

---

Look up the ΔE_f of the fourth one.
0.32 eV per atom

---

What is the ΔE_f in the fourth record?
0.32 eV per atom

---

The lowest energy above the most stable polymorph in this dataset belongs to which entry?
number 3